The following is a DFT calculation (GGA-PBE) of an optimized crystal structure of Na2HgSbRu.

Summary:
Formation energy (no corrections) (meV per atom): 1012
Space-group type: P4/mmm (123)
ρ (g/cm³): 5.0
E_tot (eV/atom): -2.26

Lattice parameters (Å, degrees): 5.267 5.585 5.267 90.00 90.00 90.00
Fractional positions:
Sb  0.000  0.500  0.000
Na  0.000  0.000  0.500
Na  0.500  0.000  0.000
Hg  0.000  0.000  0.000
Ru  0.500  0.500  0.500